1.
First-principles (GGA-PBEsol) data for a relaxed Ta2TePb crystal, as listed in Alexandria via LeMat-Bulk.

symmetry: Immm, No. 71
formation energy without anion corrections: 13.92 kcal/mol of atoms
E above lowest polymorph: 43.8 kJ/mol of atoms
electronic total energy: -30.2 eV/cell

POSCAR file:
```
Ta2TePb
1.0
-1.656 2.686 4.716
1.656 -2.686 4.716
1.656 2.686 -4.716
Ta Te Pb
2 1 1
direct
0.239 0.239 0.000
0.761 0.761 0.000
0.000 0.500 0.500
0.500 0.000 0.500
```

=====

2.
First-principles (GGA-PBEsol) data for a relaxed TaTe2Pb crystal, as listed in Alexandria via LeMat-Bulk.

symmetry: R-3m, No. 166
formation energy without anion corrections: -4.64 kcal/mol of atoms
electronic total energy: -24.4 eV/cell

POSCAR file:
```
TaTe2Pb
1.0
1.762 1.017 9.596
-1.762 1.017 9.596
0.000 -2.035 9.596
Ta Te Pb
1 2 1
direct
0.000 0.000 0.000
0.268 0.268 0.268
0.732 0.732 0.732
0.500 0.500 0.500
```

=====

3.
First-principles (GGA-PBEsol) data for a relaxed TaPb2W crystal, as listed in Alexandria via LeMat-Bulk.

symmetry: P2/m, No. 10
energy of formation from the pure elements: 90.9 kJ/mol of atoms
electronic total energy: -30.6 eV/cell

POSCAR file:
```
TaPb2W
1.0
3.054 0.000 0.000
0.000 4.659 0.000
-0.804 0.000 5.698
Ta Pb W
1 2 1
direct
0.000 0.000 0.000
0.275 0.500 0.747
0.725 0.500 0.253
0.500 0.000 0.500
```

=====

4.
First-principles (GGA-PBEsol) data for a relaxed TaPbW2 crystal, as listed in Alexandria via LeMat-Bulk.

symmetry: P4/mmm, No. 123
energy of formation from the pure elements: 83.1 kJ/mol of atoms
electronic total energy: -40.7 eV/cell

POSCAR file:
```
TaPbW2
1.0
2.831 0.000 0.000
0.000 2.831 0.000
0.000 0.000 9.176
Ta Pb W
1 1 2
direct
0.000 0.000 0.000
0.000 0.000 0.500
0.500 0.500 0.236
0.500 0.500 0.764
```